# MgTa2Tc (GGA-PBE, optimized geometry)
data_MgTa2Tc
_chemical_formula_sum 'Mg1 Ta2 Tc1'
_cell_length_a 3.2056
_cell_length_b 3.2056
_cell_length_c 6.8947
_cell_angle_alpha 90.00
_cell_angle_beta 90.00
_cell_angle_gamma 90.00
_symmetry_space_group_name_H-M 'P 4 m m'
_symmetry_Int_Tables_number 99
_symmetry_space_group_name_Hall 'P 4 -2'
loop_
_atom_site_label
_atom_site_fract_x
_atom_site_fract_y
_atom_site_fract_z
_atom_site_occupancy
Mg1 0.0000 0.0000 0.0000 1
Ta1 0.0000 0.0000 0.5508 1
Ta2 0.5000 0.5000 0.2939 1
Tc1 0.5000 0.5000 0.7541 1
# * Fermi-level density of states: 3.4 states/eV per cell
# * calculated volume: 17.7 Å³/atom
# * DFT formation energy: 0.069 eV/atom

=====

# MgTaTc (GGA-PBE, optimized geometry)
data_MgTaTc
_chemical_formula_sum 'Mg1 Ta1 Tc1'
_cell_length_a 3.0786
_cell_length_b 3.0786
_cell_length_c 6.7299
_cell_angle_alpha 90.00
_cell_angle_beta 90.00
_cell_angle_gamma 120.00
_symmetry_space_group_name_H-M 'P 3 m 1'
_symmetry_Int_Tables_number 156
_symmetry_space_group_name_Hall 'P 3 -2"'
loop_
_atom_site_label
_atom_site_fract_x
_atom_site_fract_y
_atom_site_fract_z
_atom_site_occupancy
Mg1 0.0000 0.0000 0.0000 1
Ta1 0.3333 0.6667 0.3839 1
Tc1 0.6667 0.3333 0.6577 1
# * Fermi-level density of states: 2.5 states/eV per cell
# * calculated volume: 18.4 Å³/atom
# * DFT formation energy: 0.202 eV/atom

=====

# MgTa2Tc2 (GGA-PBE, optimized geometry)
data_MgTa2Tc2
_chemical_formula_sum 'Mg2 Ta4 Tc4'
_cell_length_a 7.5639
_cell_length_b 7.5639
_cell_length_c 3.1062
_cell_angle_alpha 90.00
_cell_angle_beta 90.00
_cell_angle_gamma 90.00
_symmetry_space_group_name_H-M 'P 4/m b m'
_symmetry_Int_Tables_number 127
_symmetry_space_group_name_Hall '-P 4 2ab'
loop_
_atom_site_label
_atom_site_fract_x
_atom_site_fract_y
_atom_site_fract_z
_atom_site_occupancy
Mg1 0.0000 0.0000 0.0000 1
Ta1 0.1493 0.3507 0.5000 1
Tc1 0.1455 0.6455 0.0000 1
# * Fermi-level density of states: 9.6 states/eV per cell
# * calculated volume: 17.8 Å³/atom
# * DFT formation energy: 0.067 eV/atom

=====

# MgTaTc (GGA-PBE, optimized geometry)
data_MgTaTc
_chemical_formula_sum 'Mg1 Ta1 Tc1'
_cell_length_a 4.5654
_cell_length_b 4.5654
_cell_length_c 2.7880
_cell_angle_alpha 90.00
_cell_angle_beta 90.00
_cell_angle_gamma 120.00
_symmetry_space_group_name_H-M 'P 3 m 1'
_symmetry_Int_Tables_number 156
_symmetry_space_group_name_Hall 'P 3 -2"'
loop_
_atom_site_label
_atom_site_fract_x
_atom_site_fract_y
_atom_site_fract_z
_atom_site_occupancy
Mg1 0.0000 0.0000 0.0000 1
Ta1 0.6667 0.3333 0.4067 1
Tc1 0.3333 0.6667 0.6687 1
# * Fermi-level density of states: 1.4 states/eV per cell
# * calculated volume: 16.8 Å³/atom
# * DFT formation energy: 0.042 eV/atom

=====

# Mg2TaTcTe (GGA-PBE, optimized geometry)
data_Mg2TaTcTe
_chemical_formula_sum 'Mg2 Ta1 Tc1 Te1'
_cell_length_a 5.3863
_cell_length_b 5.3863
_cell_length_c 5.1546
_cell_angle_alpha 90.00
_cell_angle_beta 90.00
_cell_angle_gamma 90.00
_symmetry_space_group_name_H-M 'P 4/m m m'
_symmetry_Int_Tables_number 123
_symmetry_space_group_name_Hall '-P 4 2'
loop_
_atom_site_label
_atom_site_fract_x
_atom_site_fract_y
_atom_site_fract_z
_atom_site_occupancy
Mg1 0.0000 0.5000 0.0000 1
Ta1 0.0000 0.0000 0.0000 1
Tc1 0.5000 0.5000 0.5000 1
Te1 0.0000 0.0000 0.5000 1
# * Fermi-level density of states: 5.1 states/eV per cell
# * calculated volume: 29.9 Å³/atom
# * E_form (uncorrected): 1.50 eV/atom

=====

# MgTaTlTc2 (GGA-PBE, optimized geometry)
data_MgTaTlTc2
_chemical_formula_sum 'Mg1 Ta1 Tl1 Tc2'
_cell_length_a 4.5877
_cell_length_b 4.5877
_cell_length_c 4.7823
_cell_angle_alpha 90.00
_cell_angle_beta 90.00
_cell_angle_gamma 90.00
_symmetry_space_group_name_H-M 'P 4/m m m'
_symmetry_Int_Tables_number 123
_symmetry_space_group_name_Hall '-P 4 2'
loop_
_atom_site_label
_atom_site_fract_x
_atom_site_fract_y
_atom_site_fract_z
_atom_site_occupancy
Mg1 0.0000 0.0000 0.0000 1
Ta1 0.0000 0.0000 0.5000 1
Tl1 0.5000 0.5000 0.5000 1
Tc1 0.0000 0.5000 0.0000 1
# * Fermi-level density of states: 6.2 states/eV per cell
# * calculated volume: 20.1 Å³/atom
# * DFT formation energy: 1.834 eV/atom

=====

For the records above, the corresponding VASP energy values read -35.390; -23.206; -91.393; -23.689; -21.026; -27.376 eV/cell.